(1)
The following is a DFT calculation (GGA-PBE) of a relaxed structure of Cr5IrRh6.

Cell: 3.7947 7.1024 7.1024 Å, 107.91 105.50 105.50°
Element x y z (fractional)
1 Cr 0.0000 0.3377 0.6623
2 Cr 0.0000 0.6623 0.3377
3 Cr 0.5000 0.1625 0.8375
4 Cr 0.5000 0.5000 0.5000
5 Cr 0.5000 0.8375 0.1625
6 Rh 0.2533 0.4209 0.0859
7 Rh 0.7553 0.2554 0.2554
8 Rh 0.2533 0.0859 0.4209
9 Rh 0.2447 0.7446 0.7446
10 Rh 0.7467 0.9141 0.5791
11 Rh 0.7467 0.5791 0.9141
12 Ir 0.0000 0.0000 0.0000

Computed properties:
- Calculated total energy: -8.51 eV per atom
- Spin magnetization: 4.17 μB per cell
- V: 162 Å³ per cell

---

(2)
The following is a DFT calculation (GGA-PBE) of a relaxed structure of CrIr12Rh3.

Cell: 3.8517 3.8517 15.4271 Å, 90.00 90.00 90.00°
Element x y z (fractional)
1 Ir 0.0000 0.5000 0.1214
2 Ir 0.0000 0.5000 0.8786
3 Ir 0.5000 0.5000 0.2481
4 Ir 0.5000 0.5000 0.5000
5 Ir 0.5000 0.5000 0.0000
6 Ir 0.0000 0.5000 0.6259
7 Ir 0.5000 0.0000 0.3741
8 Ir 0.5000 0.0000 0.1214
9 Ir 0.5000 0.0000 0.8786
10 Ir 0.5000 0.0000 0.6259
11 Ir 0.0000 0.5000 0.3741
12 Ir 0.5000 0.5000 0.7519
13 Rh 0.0000 0.0000 0.2507
14 Rh 0.0000 0.0000 0.7493
15 Rh 0.0000 0.0000 0.5000
16 Cr 0.0000 0.0000 0.0000

Computed properties:
- Calculated total energy: -8.69 eV per atom
- Spin magnetization: 0.92 μB per cell
- V: 229 Å³ per cell

---

(3)
The following is a DFT calculation (GGA-PBE) of a relaxed structure of Cr2IrRh2.

Cell: 7.0899 7.0899 2.7113 Å, 90.00 90.00 90.00°
Element x y z (fractional)
1 Cr 0.3287 0.1713 0.5000
2 Cr 0.6713 0.8287 0.5000
3 Cr 0.1713 0.6713 0.5000
4 Cr 0.8287 0.3287 0.5000
5 Rh 0.1283 0.3717 0.0000
6 Rh 0.8717 0.6283 0.0000
7 Rh 0.3717 0.8717 0.0000
8 Rh 0.6283 0.1283 0.0000
9 Ir 0.0000 0.0000 0.0000
10 Ir 0.5000 0.5000 0.0000

Computed properties:
- Calculated total energy: -8.45 eV per atom
- Spin magnetization: 0.00 μB per cell
- Relative energy among the computed polymorphs: 114 meV/atom
- V: 136 Å³ per cell

---

(4)
The following is a DFT calculation (GGA-PBE) of a relaxed structure of Cr4Ir4Rh5.

Cell: 3.8167 7.1048 7.1048 Å, 85.86 74.42 74.42°
Element x y z (fractional)
1 Rh 0.5426 0.7651 0.1497
2 Rh 0.4574 0.2349 0.8503
3 Rh 0.3077 0.1497 0.2349
4 Rh 0.0000 0.0000 0.0000
5 Rh 0.6923 0.8503 0.7651
6 Ir 0.0848 0.5340 0.2965
7 Ir 0.3812 0.7035 0.5340
8 Ir 0.6188 0.2965 0.4660
9 Ir 0.9152 0.4660 0.7035
10 Cr 0.1484 0.0811 0.6221
11 Cr 0.2295 0.6221 0.9189
12 Cr 0.7705 0.3779 0.0811
13 Cr 0.8516 0.9189 0.3779

Computed properties:
- Calculated total energy: -8.63 eV per atom
- Spin magnetization: 5.87 μB per cell
- V: 179 Å³ per cell

---

(5)
The following is a DFT calculation (GGA-PBE) of a relaxed structure of CrIr2Rh4.

Cell: 8.9177 8.9177 4.8876 Å, 90.00 90.00 147.21°
Element x y z (fractional)
1 Rh 0.5000 0.2536 0.5000
2 Rh 0.2536 0.5000 0.0000
3 Rh 0.0000 0.5000 0.7429
4 Rh 0.5000 0.0000 0.2429
5 Rh 0.5000 0.0000 0.7571
6 Rh 0.5000 0.7464 0.5000
7 Rh 0.7464 0.5000 0.0000
8 Rh 0.0000 0.5000 0.2571
9 Ir 0.8027 0.9480 0.0000
10 Ir 0.1973 0.0520 0.0000
11 Ir 0.9480 0.8027 0.5000
12 Ir 0.0520 0.1973 0.5000
13 Cr 0.5000 0.5000 0.7500
14 Cr 0.5000 0.5000 0.2500

Computed properties:
- Calculated total energy: -7.70 eV per atom
- Spin magnetization: 0.00 μB per cell
- Relative energy among the computed polymorphs: 265 meV/atom
- V: 211 Å³ per cell

---

(6)
The following is a DFT calculation (GGA-PBE) of a relaxed structure of CrIrRh2.

Cell: 4.6791 4.6791 4.6791 Å, 132.19 132.19 69.93°
Element x y z (fractional)
1 Cr 0.2500 0.7500 0.5000
2 Rh 0.0000 0.0000 0.0000
3 Rh 0.5000 0.5000 0.0000
4 Ir 0.7500 0.2500 0.5000

Computed properties:
- Calculated total energy: -8.40 eV per atom
- Spin magnetization: 1.39 μB per cell
- V: 55 Å³ per cell

---

(7)
The following is a DFT calculation (GGA-PBE) of a relaxed structure of CrIrRh2.

Cell: 4.3477 4.3477 4.3477 Å, 60.00 60.00 60.00°
Element x y z (fractional)
1 Rh 0.2500 0.2500 0.2500
2 Rh 0.7500 0.7500 0.7500
3 Ir 0.5000 0.5000 0.5000
4 Cr 0.0000 0.0000 0.0000

Computed properties:
- Calculated total energy: -8.02 eV per atom
- Spin magnetization: 0.97 μB per cell
- V: 58 Å³ per cell

---

(8)
The following is a DFT calculation (GGA-PBE) of a relaxed structure of Cr2Ir2Rh3.

Cell: 2.6974 4.6190 8.8487 Å, 111.52 90.00 106.98°
Element x y z (fractional)
1 Ir 0.2117 0.4233 0.3530
2 Ir 0.7883 0.5767 0.6470
3 Cr 0.5557 0.1115 0.7742
4 Cr 0.4443 0.8885 0.2258
5 Rh 0.0000 0.0000 0.5000
6 Rh 0.6693 0.3387 0.0804
7 Rh 0.3307 0.6613 0.9196

Computed properties:
- Calculated total energy: -8.43 eV per atom
- Spin magnetization: 0.72 μB per cell
- V: 97 Å³ per cell

---

(9)
The following is a DFT calculation (GGA-PBE) of a relaxed structure of CrIr2Rh9.

Cell: 3.8331 3.8331 11.5055 Å, 90.00 90.00 90.00°
Element x y z (fractional)
1 Rh 0.5000 0.5000 0.6681
2 Rh 0.0000 0.5000 0.1638
3 Rh 0.5000 0.5000 0.3319
4 Rh 0.0000 0.5000 0.5000
5 Rh 0.5000 0.0000 0.1638
6 Rh 0.0000 0.5000 0.8362
7 Rh 0.5000 0.5000 0.0000
8 Rh 0.5000 0.0000 0.8362
9 Rh 0.5000 0.0000 0.5000
10 Ir 0.0000 0.0000 0.6663
11 Ir 0.0000 0.0000 0.3337
12 Cr 0.0000 0.0000 0.0000

Computed properties:
- Calculated total energy: -7.83 eV per atom
- Spin magnetization: 1.53 μB per cell
- V: 169 Å³ per cell

---

(10)
The following is a DFT calculation (GGA-PBE) of a relaxed structure of Cr2IrRh4.

Cell: 6.5872 6.5872 6.5872 Å, 98.81 115.05 115.05°
Element x y z (fractional)
1 Cr 0.5000 0.6502 0.8498
2 Cr 0.8005 0.1502 0.6502
3 Cr 0.5000 0.3498 0.1502
4 Cr 0.1995 0.8498 0.3498
5 Ir 0.0000 0.7500 0.7500
6 Ir 0.0000 0.2500 0.2500
7 Rh 0.8014 0.4943 0.9943
8 Rh 0.8014 0.8072 0.3072
9 Rh 0.5000 0.6928 0.4943
10 Rh 0.1986 0.1928 0.6928
11 Rh 0.5000 0.3072 0.5057
12 Rh 0.5000 0.9943 0.1928
13 Rh 0.1986 0.5057 0.0057
14 Rh 0.5000 0.0057 0.8072

Computed properties:
- Calculated total energy: -7.80 eV per atom
- Spin magnetization: 5.63 μB per cell
- Relative energy among the computed polymorphs: 175 meV/atom
- V: 214 Å³ per cell

---

(11)
The following is a DFT calculation (GGA-PBE) of a relaxed structure of CrIrRh2.

Cell: 3.7245 3.7245 9.1831 Å, 78.30 78.30 90.00°
Element x y z (fractional)
1 Cr 0.2500 0.7500 0.5000
2 Cr 0.5000 0.5000 0.0000
3 Rh 0.3750 0.3798 0.7500
4 Rh 0.6202 0.1250 0.2500
5 Rh 0.8750 0.8702 0.7500
6 Rh 0.1298 0.6250 0.2500
7 Ir 0.0000 0.0000 0.0000
8 Ir 0.7500 0.2500 0.5000

Computed properties:
- Calculated total energy: -7.95 eV per atom
- Spin magnetization: 3.23 μB per cell
- V: 122 Å³ per cell

---

(12)
The following is a DFT calculation (GGA-PBE) of a relaxed structure of CrIrRh4.

Cell: 4.4359 4.4906 5.8963 Å, 96.73 67.90 60.40°
Element x y z (fractional)
1 Rh 0.0957 0.2132 0.5954
2 Rh 0.5954 0.7096 0.0995
3 Rh 0.9043 0.7868 0.4046
4 Rh 0.4046 0.2904 0.9005
5 Ir 0.0000 0.0000 0.0000
6 Cr 0.5000 0.5000 0.5000

Computed properties:
- Calculated total energy: -7.89 eV per atom
- Spin magnetization: 1.46 μB per cell
- Relative energy among the computed polymorphs: 214 meV/atom
- V: 88 Å³ per cell

---

(13)
The following is a DFT calculation (GGA-PBE) of a relaxed structure of Cr4Ir7Rh6.

Cell: 6.9637 6.9636 6.9636 Å, 109.47 109.47 109.47°
Element x y z (fractional)
1 Rh 0.0000 0.7036 0.7036
2 Rh 0.0000 0.2964 0.2964
3 Rh 0.2964 0.2964 0.0000
4 Rh 0.7036 0.7036 0.0000
5 Rh 0.7036 0.0000 0.7036
6 Rh 0.2964 0.0000 0.2964
7 Ir 0.5000 0.7500 0.2500
8 Ir 0.0000 0.0000 0.0000
9 Ir 0.7500 0.5000 0.2500
10 Ir 0.7500 0.2500 0.5000
11 Ir 0.2500 0.7500 0.5000
12 Ir 0.5000 0.2500 0.7500
13 Ir 0.2500 0.5000 0.7500
14 Cr 0.0000 0.0000 0.5000
15 Cr 0.0000 0.5000 0.0000
16 Cr 0.5000 0.5000 0.5000
17 Cr 0.5000 0.0000 0.0000

Computed properties:
- Calculated total energy: -8.25 eV per atom
- Spin magnetization: 9.74 μB per cell
- V: 260 Å³ per cell

---

(14)
The following is a DFT calculation (GGA-PBE) of a relaxed structure of Cr3Ir3Rh.

Cell: 5.9332 5.9332 5.6484 Å, 90.00 90.00 90.07°
Element x y z (fractional)
1 Ir 0.2737 0.7263 0.5000
2 Ir 0.7263 0.2737 0.5000
3 Ir 0.7276 0.7276 0.4999
4 Ir 0.7359 0.2641 0.0000
5 Ir 0.2641 0.7359 0.0000
6 Ir 0.2724 0.2724 0.5001
7 Cr 0.9999 0.9999 0.7470
8 Cr 0.4998 0.0001 0.2487
9 Cr 0.0001 0.0001 0.2530
10 Cr 0.9999 0.5002 0.7513
11 Cr 0.0001 0.4998 0.2487
12 Cr 0.5002 0.9999 0.7513
13 Rh 0.2810 0.2810 0.9999
14 Rh 0.7190 0.7190 0.0001

Computed properties:
- Calculated total energy: -8.91 eV per atom
- Spin magnetization: 2.19 μB per cell
- V: 199 Å³ per cell

---

(15)
The following is a DFT calculation (GGA-PBE) of a relaxed structure of CrIr4Rh3.

Cell: 2.6865 5.2145 8.9922 Å, 106.85 98.59 90.00°
Element x y z (fractional)
1 Ir 0.3776 0.6219 0.7553
2 Ir 0.6224 0.3781 0.2447
3 Ir 0.6224 0.8666 0.2447
4 Ir 0.3776 0.1334 0.7553
5 Rh 0.0000 0.5000 0.0000
6 Rh 0.7685 0.7685 0.5370
7 Rh 0.2315 0.2315 0.4630
8 Cr 0.5000 0.0000 0.0000

Computed properties:
- Calculated total energy: -8.15 eV per atom
- Spin magnetization: 1.42 μB per cell
- V: 119 Å³ per cell

---

(16)
The following is a DFT calculation (GGA-PBE) of a relaxed structure of Cr2Ir3Rh2.

Cell: 2.6994 5.9527 6.5747 Å, 110.94 89.97 103.09°
Element x y z (fractional)
1 Ir 0.7178 0.4361 0.1437
2 Ir 0.0000 0.0000 0.0000
3 Ir 0.2822 0.5639 0.8563
4 Rh 0.1306 0.2626 0.4322
5 Rh 0.8694 0.7374 0.5678
6 Cr 0.4297 0.8579 0.2829
7 Cr 0.5703 0.1421 0.7171

Computed properties:
- Calculated total energy: -8.75 eV per atom
- Spin magnetization: 0.00 μB per cell
- Relative energy among the computed polymorphs: 0 meV/atom
- V: 96 Å³ per cell

---

(17)
The following is a DFT calculation (GGA-PBE) of a relaxed structure of CrIr3Rh6.

Cell: 4.9698 4.9698 6.8726 Å, 90.00 90.00 120.00°
Element x y z (fractional)
1 Rh 0.0000 0.3868 0.8138
2 Rh 0.3868 0.0000 0.8138
3 Rh 0.6132 0.0000 0.1862
4 Rh 0.3868 0.3868 0.1862
5 Rh 0.0000 0.6132 0.1862
6 Rh 0.6132 0.6132 0.8138
7 Ir 0.0000 0.0000 0.5000
8 Ir 0.6667 0.3333 0.5000
9 Ir 0.3333 0.6667 0.5000
10 Cr 0.0000 0.0000 0.0000

Computed properties:
- Calculated total energy: -7.78 eV per atom
- Spin magnetization: 0.00 μB per cell
- V: 147 Å³ per cell

---

(18)
The following is a DFT calculation (GGA-PBE) of a relaxed structure of Cr2Ir3Rh8.

Cell: 3.7533 7.7642 7.7642 Å, 62.45 89.97 89.97°
Element x y z (fractional)
1 Ir 0.5000 0.0000 0.0000
2 Ir 0.0000 0.2287 0.7713
3 Ir 0.0000 0.7713 0.2287
4 Cr 0.4993 0.2648 0.2648
5 Cr 0.5007 0.7352 0.7352
6 Rh 0.9996 0.1529 0.1529
7 Rh 0.5003 0.1084 0.6082
8 Rh 0.0001 0.6116 0.6116
9 Rh 0.4997 0.3918 0.8916
10 Rh 0.5003 0.6082 0.1084
11 Rh 0.0004 0.8471 0.8471
12 Rh 0.9999 0.3884 0.3884
13 Rh 0.4997 0.8916 0.3918

Computed properties:
- Calculated total energy: -7.78 eV per atom
- Spin magnetization: 1.03 μB per cell
- V: 201 Å³ per cell

---

(19)
The following is a DFT calculation (GGA-PBE) of a relaxed structure of Cr2Ir7Rh3.

Cell: 2.7063 4.8727 13.4509 Å, 75.79 90.00 90.00°
Element x y z (fractional)
1 Ir 0.5000 0.7550 0.4901
2 Ir 0.0000 0.0000 0.0000
3 Ir 0.0000 0.4415 0.8258
4 Ir 0.5000 0.2450 0.5099
5 Ir 0.5000 0.0475 0.1714
6 Ir 0.0000 0.5585 0.1742
7 Ir 0.5000 0.9525 0.8286
8 Rh 0.0000 0.8767 0.6592
9 Rh 0.5000 0.5000 0.0000
10 Rh 0.0000 0.1233 0.3408
11 Cr 0.5000 0.4067 0.6696
12 Cr 0.5000 0.5933 0.3304

Computed properties:
- Calculated total energy: -8.54 eV per atom
- Spin magnetization: 1.11 μB per cell
- V: 172 Å³ per cell

---

(20)
The following is a DFT calculation (GGA-PBE) of a relaxed structure of Cr2IrRh2.

Cell: 3.6651 3.6651 5.9197 Å, 71.97 71.97 90.00°
Element x y z (fractional)
1 Ir 0.0000 0.0000 0.0000
2 Cr 0.4053 0.4053 0.1894
3 Cr 0.5947 0.5947 0.8106
4 Rh 0.2500 0.7500 0.5000
5 Rh 0.7500 0.2500 0.5000

Computed properties:
- Calculated total energy: -8.21 eV per atom
- Spin magnetization: 0.00 μB per cell
- Relative energy among the computed polymorphs: 360 meV/atom
- V: 71 Å³ per cell